Entry 1:
A relaxed structure of Pr6Sb3As2P, computed with GGA-PBE.

Geometry as extended XYZ:
```
12
Lattice="4.399 0.000 0.000 0.000 8.858 0.261 -2.200 -2.609 9.287" Properties=species:S:1:pos:R:3 pbc="T T T"
Sb 2.200 4.429 0.130
Sb 0.000 6.514 3.329
Sb 2.200 -0.264 6.218
Pr 0.000 6.285 6.539
Pr 2.200 4.203 3.309
Pr 2.200 4.171 9.432
Pr 2.200 -0.036 3.008
Pr 0.000 2.079 0.116
Pr 0.000 2.046 6.239
As 2.200 4.169 6.374
As 0.000 2.080 3.173
P 2.200 0.000 0.000
```

space-group type: No. 12
final energy: -5.98 eV/atom


Entry 2:
A relaxed structure of Pr4AsPSe2, computed with GGA-PBE.

Geometry as extended XYZ:
```
8
Lattice="-2.229 3.451 -1.086 -5.423 -2.027 4.687 1.298 2.925 6.629" Properties=species:S:1:pos:R:3 pbc="T T T"
As -3.826 0.712 1.800
Pr -1.601 3.349 5.611
Pr -4.753 1.000 4.618
Pr -3.019 0.701 8.422
Pr -3.335 3.648 1.808
P -2.062 0.449 5.658
Se 1.298 2.925 6.629
Se -0.466 3.188 2.771
```

space-group type: No. 10
final energy: -6.26 eV/atom


Entry 3:
A relaxed structure of Pr6AsP3Se2, computed with GGA-PBE.

Geometry as extended XYZ:
```
12
Lattice="-4.138 -0.784 0.427 1.744 -6.128 5.647 1.166 8.007 5.001" Properties=species:S:1:pos:R:3 pbc="T T T"
Pr 1.016 -0.620 8.696
Pr -2.244 1.715 2.379
Pr -2.528 5.634 6.822
Pr 1.299 -4.538 4.254
Pr 0.098 2.661 5.822
Pr -1.326 -1.565 5.254
P 1.151 -2.559 6.451
P -2.380 3.654 4.625
P -1.197 -3.456 3.037
Se 0.283 0.497 3.647
Se -1.512 0.599 7.428
As -2.069 -0.392 0.214
```

space-group type: No. 12
final energy: -6.40 eV/atom


Entry 4:
A relaxed structure of Pr4AsP2Se, computed with GGA-PBE.

Geometry as extended XYZ:
```
8
Lattice="-3.622 -1.686 -1.421 2.459 0.557 -6.926 3.574 -6.154 -1.809" Properties=species:S:1:pos:R:3 pbc="T T T"
P -0.024 -3.920 -1.615
P 3.574 -6.154 -1.809
Se -0.581 -0.564 -4.174
Pr 1.462 -5.324 -3.736
Pr 0.949 -1.958 -6.421
Pr -2.116 -3.141 -3.531
Pr 4.528 -4.141 -6.625
As 3.017 -2.798 -4.368
```

space-group type: No. 10
final energy: -6.42 eV/atom


Entry 5:
A relaxed structure of Pr6As2PSe3, computed with GGA-PBE.

Geometry as extended XYZ:
```
12
Lattice="4.261 0.000 0.000 0.000 8.575 0.262 -2.131 -2.517 9.003" Properties=species:S:1:pos:R:3 pbc="T T T"
P 2.131 0.000 0.000
Pr 0.000 1.956 6.084
Pr 2.131 4.101 3.181
Pr 0.000 2.015 0.092
Pr 2.131 -0.075 2.918
Pr 2.131 4.042 9.173
Pr 0.000 6.132 6.346
Se 2.131 4.287 0.131
Se 0.000 6.299 3.238
Se 2.131 -0.242 6.027
As 0.000 2.015 3.088
As 2.131 4.042 6.176
```

space-group type: No. 12
final energy: -6.23 eV/atom


Entry 6:
A relaxed structure of Pr4As2PSe, computed with GGA-PBE.

Geometry as extended XYZ:
```
8
Lattice="-0.159 -2.061 3.740 6.983 -2.228 -0.931 4.593 5.007 2.954" Properties=species:S:1:pos:R:3 pbc="T T T"
As 4.593 5.007 2.954
As 2.217 1.473 3.347
P 5.788 1.390 1.012
Pr 8.665 2.037 1.491
Pr 2.751 -1.318 4.273
Pr 5.095 2.128 3.830
Pr 6.321 -1.410 1.933
Se 3.412 -2.144 1.405
```

space-group type: No. 10
final energy: -6.31 eV/atom


no.,spin magnetization (μB per cell)
1,0.0
2,0.0
3,0.0
4,0.0
5,0.0
6,0.0